Entry 1:
YVFePb2 (PBE, relaxed); spin magnetization = 6.12 μB per formula unit; formation energy = 1.6330 eV per atom
1.0
5.7931 0.0000 0.0000
0.0000 4.9508 0.0000
0.0000 0.0000 5.7931
Pb Y Fe V
2 1 1 1
Direct
0.0000 0.0000 0.5000
0.5000 0.0000 0.0000
0.0000 0.0000 0.0000
0.5000 0.5000 0.5000
0.0000 0.5000 0.0000

***

Entry 2:
FePb2W (PBE, relaxed); relative energy among the computed polymorphs = 663 meV per atom; spin magnetization = 3.14 μB per formula unit; formation energy = 1.0951 eV per atom
1.0
-2.3554 -0.8037 2.2599
-2.6272 -2.7847 -3.7286
2.3715 -3.7577 1.1354
Fe Pb W
1 2 1
Direct
0.0000 0.5000 0.5000
0.0000 0.0000 0.0000
0.5000 0.5000 0.0000
0.5000 0.0000 0.5000

***

Entry 3:
FePbW2 (PBE, relaxed); spin magnetization = 2.34 μB per formula unit; formation energy = 0.5839 eV per atom
1.0
3.1798 0.0000 0.0000
0.0000 3.2090 -0.0484
0.0000 1.8372 7.1091
Fe Pb W
1 1 2
Direct
0.0000 0.5874 0.4560
0.5000 0.9326 0.7126
0.0000 0.7901 0.0658
0.5000 0.1899 0.2656

***

Entry 4:
FePb2W (PBE, relaxed); relative energy among the computed polymorphs = 546 meV per atom; spin magnetization = 2.88 μB per formula unit; formation energy = 0.9784 eV per atom
1.0
9.1806 0.0219 0.0129
8.6100 3.1863 0.0129
8.6100 1.5527 2.7824
Fe Pb W
1 2 1
Direct
0.7500 0.7500 0.7500
0.0026 0.0026 0.0026
0.4974 0.4974 0.4974
0.2500 0.2500 0.2500